Below is crystalline ReTcW2 at its relaxed geometry, with properties calculated at the PBE-GGA level.

Computed properties:
ΔE to the lowest computed polymorph: 0.10 eV per formula unit
formation enthalpy at 0 K: 0.101 eV per atom
size of the total moment: 0.0 μB/cell

Cell lengths 4.4351, 2.7401, 5.2149 Å; angles 78.92, 90.00, 90.00 degrees
Element x y z (fractional)
W 0.5000 0.2393 0.2552
W 0.0000 0.0113 0.9944
Re 0.0000 0.4705 0.4947
Tc 0.5000 0.7789 0.7558